(1)
Material: Te2PAu
Method: DFT, PBE
State: optimized geometry

Calculated values
total magnetic moment = 0.000 μB per cell
formation energy (no corrections) = 0.1947 eV/atom
crystal system = tetragonal

```
4
Lattice="5.667 0.000 0.000 0.000 5.667 0.000 0.000 0.000 3.044" Properties=species:S:1:pos:R:3 pbc="T T T"
Te 0.000 2.834 0.000
Te 2.834 0.000 0.000
P 0.000 0.000 0.000
Au 2.834 2.834 0.000
```

=====

(2)
Material: Sr4Ga2O
Method: DFT, PBE
State: optimized geometry

Calculated values
total magnetic moment = 2.885 μB per cell
formation energy (no corrections) = -0.8910 eV/atom
crystal system = tetragonal

```
14
Lattice="5.119 0.000 0.000 0.000 5.119 0.000 0.000 0.000 16.251" Properties=species:S:1:pos:R:3 pbc="T T T"
Sr 0.000 0.000 2.781
Sr 0.000 0.000 13.471
Sr 0.000 2.559 0.000
Sr 0.000 2.559 8.126
Sr 2.559 0.000 0.000
Sr 2.559 0.000 8.126
Sr 2.559 2.559 5.345
Sr 2.559 2.559 10.906
Ga 0.000 0.000 6.039
Ga 0.000 0.000 10.213
Ga 2.559 2.559 2.087
Ga 2.559 2.559 14.164
O 0.000 0.000 0.000
O 2.559 2.559 8.126
```

=====

> What is the formula in the second record?

Sr4Ga2O